# MnInAgF6, relaxed, DFT PBE with a Hubbard U
data_MnInAgF6
_cell_length_a 5.751
_cell_length_b 5.751
_cell_length_c 10.049
_cell_angle_alpha 90.00
_cell_angle_beta 90.00
_cell_angle_gamma 120.00
_symmetry_space_group_name_H-M 'P 1'
_symmetry_Int_Tables_number 1
loop_
_symmetry_equiv_pos_as_xyz
'x,y,z'
loop_
_atom_site_label
_atom_site_type_symbol
_atom_site_fract_x
_atom_site_fract_y
_atom_site_fract_z
_atom_site_occupancy
Ag1 Ag 0.000 0.000 0.500 1
Ag2 Ag 0.000 0.000 0.000 1
Mn1 Mn 0.333 0.667 0.250 1
Mn2 Mn 0.667 0.333 0.750 1
In1 In 0.333 0.667 0.750 1
In2 In 0.667 0.333 0.250 1
F1 F 0.631 0.996 0.860 1
F2 F 0.996 0.631 0.360 1
F3 F 0.631 0.636 0.640 1
F4 F 0.369 0.364 0.360 1
F5 F 0.636 0.631 0.140 1
F6 F 0.364 0.996 0.640 1
F7 F 0.636 0.004 0.360 1
F8 F 0.996 0.364 0.140 1
F9 F 0.004 0.369 0.640 1
F10 F 0.369 0.004 0.140 1
F11 F 0.364 0.369 0.860 1
F12 F 0.004 0.636 0.860 1
# Volume = 15.989 A^3/atom
# SG = P-31c, No. 163
# Electronic total energy = -4.92 eV/atom
# Total magnetization = 4.9 μB per formula unit